Record 1
First-principles (PBE) data for a relaxed structure of PrInSn6, as listed in Alexandria via LeMat-Bulk.

abc: 6.795 6.795 4.738
angles: 90.00 90.00 90.00
Fractional positions:
Pr (0.000, 0.000, 0.000)
In (0.500, 0.500, 0.000)
Sn (0.000, 0.500, 0.000)
Sn (0.260, 0.260, 0.500)
Sn (0.260, 0.740, 0.500)
Sn (0.500, 0.000, 0.000)
Sn (0.740, 0.260, 0.500)
Sn (0.740, 0.740, 0.500)

The total energy is -33.3 eV/cell. As for the density of states at the Fermi level: 3.7 states/eV/f.u. The calculation puts the density at 7.35 g/cm³.

---

Record 2
First-principles (PBE) data for a relaxed structure of Ho12Be3H5, as listed in Alexandria via LeMat-Bulk.

abc: 12.920 12.920 12.920
angles: 109.47 109.47 109.47
Fractional positions:
Ho (0.024, 0.214, 0.118)
Ho (0.024, 0.310, 0.906)
Ho (0.094, 0.618, 0.404)
Ho (0.094, 0.976, 0.690)
Ho (0.096, 0.714, 0.690)
Ho (0.096, 0.882, 0.406)
Ho (0.118, 0.024, 0.214)
Ho (0.118, 0.594, 0.904)
Ho (0.190, 0.214, 0.596)
Ho (0.190, 0.476, 0.594)
Ho (0.214, 0.118, 0.024)
Ho (0.214, 0.596, 0.190)
Ho (0.286, 0.310, 0.904)
Ho (0.286, 0.476, 0.382)
Ho (0.310, 0.904, 0.286)
Ho (0.310, 0.906, 0.024)
Ho (0.382, 0.286, 0.476)
Ho (0.382, 0.596, 0.906)
Ho (0.404, 0.094, 0.618)
Ho (0.404, 0.810, 0.786)
Ho (0.406, 0.096, 0.882)
Ho (0.406, 0.810, 0.524)
Ho (0.476, 0.382, 0.286)
Ho (0.476, 0.594, 0.190)
Ho (0.524, 0.406, 0.810)
Ho (0.524, 0.618, 0.714)
Ho (0.594, 0.190, 0.476)
Ho (0.594, 0.904, 0.118)
Ho (0.596, 0.190, 0.214)
Ho (0.596, 0.906, 0.382)
Ho (0.618, 0.404, 0.094)
Ho (0.618, 0.714, 0.524)
Ho (0.690, 0.094, 0.976)
Ho (0.690, 0.096, 0.714)
Ho (0.714, 0.524, 0.618)
Ho (0.714, 0.690, 0.096)
Ho (0.786, 0.404, 0.810)
Ho (0.786, 0.882, 0.976)
Ho (0.810, 0.524, 0.406)
Ho (0.810, 0.786, 0.404)
Ho (0.882, 0.406, 0.096)
Ho (0.882, 0.976, 0.786)
Ho (0.904, 0.118, 0.594)
Ho (0.904, 0.286, 0.310)
Ho (0.906, 0.024, 0.310)
Ho (0.906, 0.382, 0.596)
Ho (0.976, 0.690, 0.094)
Ho (0.976, 0.786, 0.882)
Be (0.125, 0.250, 0.375)
Be (0.125, 0.375, 0.750)
Be (0.250, 0.375, 0.125)
Be (0.250, 0.875, 0.625)
Be (0.375, 0.125, 0.250)
Be (0.375, 0.750, 0.125)
Be (0.625, 0.250, 0.875)
Be (0.625, 0.875, 0.750)
Be (0.750, 0.125, 0.375)
Be (0.750, 0.625, 0.875)
Be (0.875, 0.625, 0.250)
Be (0.875, 0.750, 0.625)
H (0.000, 0.000, 0.000)
H (0.000, 0.000, 0.500)
H (0.000, 0.500, 0.000)
H (0.000, 0.500, 0.500)
H (0.125, 0.750, 0.875)
H (0.125, 0.875, 0.250)
H (0.250, 0.125, 0.875)
H (0.250, 0.625, 0.375)
H (0.375, 0.250, 0.625)
H (0.375, 0.625, 0.750)
H (0.500, 0.000, 0.000)
H (0.500, 0.000, 0.500)
H (0.500, 0.500, 0.000)
H (0.500, 0.500, 0.500)
H (0.625, 0.375, 0.250)
H (0.625, 0.750, 0.375)
H (0.750, 0.375, 0.625)
H (0.750, 0.875, 0.125)
H (0.875, 0.125, 0.750)
H (0.875, 0.250, 0.125)

The total energy is -339.3 eV/cell. As for the density of states at the Fermi level: 19.6 states/eV/f.u. The calculation puts the density at 8.05 g/cm³.

---

Record 3
First-principles (PBE) data for a relaxed structure of Mn3FePt, as listed in Alexandria via LeMat-Bulk.

abc: 4.105 4.105 4.105
angles: 90.00 90.00 90.00
Fractional positions:
Mn (0.000, 0.000, 0.500)
Mn (0.000, 0.500, 0.000)
Mn (0.500, 0.000, 0.000)
Fe (0.000, 0.000, 0.000)
Pt (0.500, 0.500, 0.500)

The total energy is -36.5 eV/cell. As for the density of states at the Fermi level: 10.9 states/eV/f.u. The calculation puts the density at 9.98 g/cm³. For the energy above the most stable polymorph in this dataset, the calculation gives 0 meV/atom.

---

Record 4
First-principles (PBE) data for a relaxed structure of SnP2AuO, as listed in Alexandria via LeMat-Bulk.

abc: 5.159 5.159 3.834
angles: 90.00 90.00 90.00
Fractional positions:
Sn (0.000, 0.000, 0.000)
P (0.000, 0.500, 0.000)
P (0.500, 0.000, 0.000)
Au (0.500, 0.500, 0.500)
O (0.000, 0.000, 0.500)

The total energy is -20.1 eV/cell. As for the density of states at the Fermi level: 3.2 states/eV/f.u. The uncorrected formation energy comes out at 0.583 eV per atom. The calculation puts the density at 6.41 g/cm³. For the energy above the most stable polymorph in this dataset, the calculation gives 0 meV/atom.

---

Record 5
First-principles (PBE) data for a relaxed structure of AcSm6Ho2Er, as listed in Alexandria via LeMat-Bulk.

abc: 8.998 8.998 9.628
angles: 92.76 92.76 117.48
Fractional positions:
Ac (0.028, 0.972, 0.750)
Ac (0.972, 0.028, 0.250)
Sm (0.009, 0.555, 0.684)
Sm (0.127, 0.754, 0.055)
Sm (0.246, 0.873, 0.445)
Sm (0.289, 0.510, 0.883)
Sm (0.445, 0.991, 0.816)
Sm (0.490, 0.711, 0.617)
Sm (0.510, 0.289, 0.383)
Sm (0.555, 0.009, 0.184)
Sm (0.711, 0.490, 0.117)
Sm (0.754, 0.127, 0.555)
Sm (0.873, 0.246, 0.945)
Sm (0.991, 0.445, 0.316)
Ho (0.206, 0.317, 0.548)
Ho (0.317, 0.206, 0.048)
Ho (0.683, 0.794, 0.952)
Ho (0.794, 0.683, 0.452)
Er (0.413, 0.587, 0.250)
Er (0.587, 0.413, 0.750)

The total energy is -89.8 eV/cell. As for the density of states at the Fermi level: 14.2 states/eV/f.u. The calculation puts the density at 7.84 g/cm³.

---

Record 6
First-principles (PBE) data for a relaxed structure of Li2In2Sn, as listed in Alexandria via LeMat-Bulk.

abc: 8.236 8.236 3.239
angles: 90.00 90.00 90.00
Fractional positions:
Li (0.171, 0.329, 0.000)
Li (0.329, 0.829, 0.000)
Li (0.671, 0.171, 0.000)
Li (0.829, 0.671, 0.000)
In (0.130, 0.630, 0.500)
In (0.370, 0.130, 0.500)
In (0.630, 0.870, 0.500)
In (0.870, 0.370, 0.500)
Sn (0.000, 0.000, 0.500)
Sn (0.500, 0.500, 0.500)

The total energy is -28.5 eV/cell. As for the density of states at the Fermi level: 1.9 states/eV/f.u. The calculation puts the density at 5.47 g/cm³. For the energy above the most stable polymorph in this dataset, the calculation gives 40 meV/atom.

---

> Which value of density does entry 1 give?

7.35 g/cm³

---

> What is the formula in the sixth record?

Li2In2Sn